# 1
Density functional theory data (GGA-PBE) for ThCo2H7 after structural relaxation.

Computed properties:
Size of the total moment   0.00 μB per formula unit
Space-group type   No. 65
D(E_F)   2.41 states/eV per cell
DFT total energy   -4.72 eV/atom
ρ   8.10 g/cm3

a b c (Å): 3.511 4.971 4.971
angles (deg): 122.44 90.00 90.00
Element x y z (fractional)
Th1 0.000 0.000 0.000
Co1 0.500 0.684 0.316
Co2 0.500 0.316 0.684
H1 0.000 0.677 0.323
H2 0.000 0.323 0.677
H3 0.500 0.025 0.323
H4 0.500 0.975 0.677
H5 0.500 0.323 0.025
H6 0.500 0.677 0.975
H7 0.500 0.500 0.500

=====

# 2
Density functional theory data (GGA-PBE) for ThCoH after structural relaxation.

Computed properties:
Size of the total moment   0.00 μB per formula unit
Space-group type   No. 107
Distance to the lowest polymorph of the same formula   0.459 eV/f.u.
D(E_F)   2.29 states/eV per cell
ρ   9.85 g/cm3

a b c (Å): 3.744 3.744 4.397
angles (deg): 115.19 115.19 90.00
Element x y z (fractional)
H1 0.912 0.912 0.823
Co1 0.695 0.695 0.391
Th1 0.243 0.243 0.486

=====

# 3
Density functional theory data (GGA-PBE) for ThCo4H7 after structural relaxation.

Computed properties:
Size of the total moment   0.62 μB per formula unit
Space-group type   No. 59
D(E_F)   13.46 states/eV per cell
DFT total energy   -5.09 eV/atom
ρ   8.61 g/cm3

a b c (Å): 3.707 3.992 12.373
angles (deg): 90.00 90.00 90.00
Element x y z (fractional)
Th1 0.513 0.736 0.500
Th2 0.013 0.264 0.000
Co1 0.513 0.735 0.888
Co2 0.013 0.761 0.251
Co3 0.513 0.239 0.249
Co4 0.013 0.265 0.612
Co5 0.013 0.265 0.388
Co6 0.513 0.735 0.112
Co7 0.013 0.761 0.749
Co8 0.513 0.239 0.751
H1 0.013 0.758 0.115
H2 0.513 0.242 0.385
H3 0.513 0.324 0.881
H4 0.013 0.676 0.619
H5 0.013 0.676 0.381
H6 0.513 0.324 0.119
H7 0.513 0.785 0.750
H8 0.013 0.215 0.750
H9 0.013 0.215 0.250
H10 0.513 0.785 0.250
H11 0.513 0.922 0.000
H12 0.013 0.078 0.500
H13 0.013 0.758 0.885
H14 0.513 0.242 0.615

=====

# 4
Density functional theory data (GGA-PBE) for ThCoH6 after structural relaxation.

Computed properties:
Size of the total moment   0.00 μB per formula unit
Space-group type   No. 166
D(E_F)   1.94 states/eV per cell
DFT total energy   -4.70 eV/atom
ρ   8.10 g/cm3

a b c (Å): 4.441 4.441 4.441
angles (deg): 59.28 59.28 59.28
Element x y z (fractional)
Th1 0.500 0.500 0.500
Co1 0.000 0.000 0.000
H1 0.898 0.898 0.425
H2 0.898 0.425 0.898
H3 0.425 0.898 0.898
H4 0.102 0.102 0.575
H5 0.102 0.575 0.102
H6 0.575 0.102 0.102

=====

# 5
Density functional theory data (GGA-PBE) for ThCo5H11 after structural relaxation.

Computed properties:
Size of the total moment   3.12 μB per formula unit
Space-group type   No. 12
D(E_F)   9.88 states/eV per cell
DFT total energy   -4.72 eV/atom
ρ   7.19 g/cm3

a b c (Å): 4.705 5.592 5.592
angles (deg): 87.08 112.80 112.80
Element x y z (fractional)
Th1 0.000 0.000 0.000
Co1 0.708 0.034 0.383
Co2 0.292 0.966 0.617
Co3 0.292 0.617 0.966
Co4 0.708 0.383 0.034
Co5 0.000 0.500 0.500
H1 0.410 0.724 0.724
H2 0.590 0.276 0.276
H3 0.668 0.155 0.629
H4 0.332 0.845 0.371
H5 0.332 0.371 0.845
H6 0.668 0.629 0.155
H7 0.500 0.000 0.000
H8 0.882 0.834 0.554
H9 0.118 0.166 0.446
H10 0.118 0.446 0.166
H11 0.882 0.554 0.834

=====

# 6
Density functional theory data (GGA-PBE) for ThTiCo2H6 after structural relaxation.

Computed properties:
Size of the total moment   1.97 μB per formula unit
Space-group type   No. 166
D(E_F)   2.62 states/eV per cell
DFT total energy   -5.39 eV/atom
ρ   7.83 g/cm3

a b c (Å): 4.364 4.364 5.771
angles (deg): 67.78 67.78 60.00
Element x y z (fractional)
Th1 0.000 0.000 0.000
Ti1 0.500 0.500 0.500
Co1 0.793 0.793 0.621
Co2 0.207 0.207 0.379
H1 0.087 0.558 0.796
H2 0.558 0.087 0.796
H3 0.442 0.442 0.204
H4 0.913 0.442 0.204
H5 0.442 0.913 0.204
H6 0.558 0.558 0.796

=====

# 7
Density functional theory data (GGA-PBE) for YThCo2H6 after structural relaxation.

Computed properties:
Size of the total moment   1.03 μB per formula unit
Space-group type   No. 166
D(E_F)   2.52 states/eV per cell
DFT total energy   -5.18 eV/atom
ρ   7.41 g/cm3

a b c (Å): 4.542 4.542 6.162
angles (deg): 68.37 68.37 60.00
Element x y z (fractional)
Y1 0.500 0.500 0.500
Th1 0.000 0.000 0.000
Co1 0.782 0.782 0.655
Co2 0.218 0.218 0.345
H1 0.056 0.561 0.822
H2 0.561 0.056 0.822
H3 0.439 0.439 0.178
H4 0.944 0.439 0.178
H5 0.439 0.944 0.178
H6 0.561 0.561 0.822

=====

# 8
Density functional theory data (GGA-PBE) for ThZnCo2H6 after structural relaxation.

Computed properties:
Size of the total moment   0.00 μB per formula unit
Space-group type   No. 166
D(E_F)   1.92 states/eV per cell
DFT total energy   -4.54 eV/atom
ρ   8.32 g/cm3

a b c (Å): 4.379 4.379 5.658
angles (deg): 67.23 67.23 60.00
Element x y z (fractional)
Th1 0.000 0.000 0.000
Zn1 0.500 0.500 0.500
Co1 0.790 0.790 0.630
Co2 0.210 0.210 0.370
H1 0.062 0.566 0.806
H2 0.566 0.062 0.806
H3 0.434 0.434 0.194
H4 0.938 0.434 0.194
H5 0.434 0.938 0.194
H6 0.566 0.566 0.806

=====

# 9
Density functional theory data (GGA-PBE) for TiCoH2 after structural relaxation.

Computed properties:
Size of the total moment   1.07 μB per formula unit
Space-group type   No. 225
Distance to the lowest polymorph of the same formula   1.439 eV/f.u.
D(E_F)   2.54 states/eV per cell
ρ   5.73 g/cm3

a b c (Å): 3.547 3.547 3.547
angles (deg): 60.00 60.00 60.00
Element x y z (fractional)
H1 0.250 0.250 0.250
H2 0.750 0.750 0.750
Co1 0.500 0.500 0.500
Ti1 0.000 0.000 0.000

=====

# 10
Density functional theory data (GGA-PBE) for TiCoH3 after structural relaxation.

Computed properties:
Size of the total moment   0.64 μB per formula unit
Space-group type   No. 107
D(E_F)   1.99 states/eV per cell
DFT total energy   -5.18 eV/atom
ρ   5.17 g/cm3

a b c (Å): 2.902 2.902 4.664
angles (deg): 108.12 108.12 90.00
Element x y z (fractional)
Ti1 0.943 0.943 0.887
Co1 0.650 0.650 0.301
H1 0.269 0.769 0.538
H2 0.769 0.269 0.538
H3 0.458 0.458 0.916

=====

# 11
Density functional theory data (GGA-PBE) for TiCoH3 after structural relaxation.

Computed properties:
Size of the total moment   1.65 μB per formula unit
Space-group type   No. 221
D(E_F)   5.08 states/eV per cell
DFT total energy   -4.77 eV/atom
ρ   4.60 g/cm3

a b c (Å): 3.411 3.411 3.411
angles (deg): 90.00 90.00 90.00
Element x y z (fractional)
H1 0.000 0.500 0.000
H2 0.000 0.000 0.500
H3 0.500 0.000 0.000
Co1 0.500 0.500 0.500
Ti1 0.000 0.000 0.000

=====

# 12
Density functional theory data (GGA-PBE) for Ti2Co2H7 after structural relaxation.

Computed properties:
Size of the total moment   0.00 μB per formula unit
Space-group type   No. 65
D(E_F)   4.22 states/eV per cell
DFT total energy   -5.08 eV/atom
ρ   5.11 g/cm3

a b c (Å): 3.996 4.242 4.242
angles (deg): 85.78 89.99 89.99
Element x y z (fractional)
Ti1 0.500 0.240 0.760
Ti2 0.500 0.760 0.240
Co1 0.000 0.732 0.732
Co2 0.000 0.268 0.268
H1 0.228 0.500 0.000
H2 0.772 0.000 0.500
H3 0.772 0.500 0.000
H4 0.228 0.000 0.500
H5 0.224 0.500 0.500
H6 0.000 0.000 0.000
H7 0.776 0.500 0.500